A plane-wave DFT calculation with GGA-PBE was carried out for an optimized crystal structure of BeTl2.

Its formation energy is 1.617 eV/f.u. The space group is P-3m1 (164).

Cell lengths 3.8441, 3.8441, 5.5255 Å; angles 90.00, 90.00, 120.00 degrees
With the nearest neighbours (Å) after each atom.
Element x y z (fractional)
Be 0.0000 0.0000 0.0000  6 Tl 2.69
Tl 0.3333 0.6667 0.2746  3 Be 2.69
Tl 0.6667 0.3333 0.7254  3 Be 2.69